Below is a PBEsol-optimized structure of Ta7Cr, with properties calculated at the SCAN level.

Summary:
* formation energy from the elements: 0.048 eV/atom

Unit cell a=6.467 b=6.467 c=6.467 alpha=89.53 beta=89.53 gamma=89.53
Fractional positions:
Ta  0.129  0.129  0.129
Ta  0.130  0.130  0.618
Ta  0.130  0.618  0.130
Ta  0.132  0.619  0.619
Ta  0.381  0.381  0.868
Ta  0.381  0.868  0.381
Ta  0.382  0.870  0.870
Ta  0.618  0.130  0.130
Ta  0.619  0.132  0.619
Ta  0.619  0.619  0.132
Ta  0.868  0.381  0.381
Ta  0.870  0.382  0.870
Ta  0.870  0.870  0.382
Ta  0.871  0.871  0.871
Cr  0.375  0.375  0.375
Cr  0.625  0.625  0.625